Here is NaDyYIn after structural relaxation from the Alexandria database. Energies are from PBE-GGA.

Unit cell a=7.631 b=7.631 c=7.631 alpha=90.00 beta=90.00 gamma=90.00
Space group F-43m (No. 216)
One atom of each set of equivalent atoms:
Na  0.000  0.000  0.000 x4
Dy  0.250  0.250  0.250 x4
Y  0.250  0.250  0.750 x4
In  0.000  0.000  0.500 x4

Calculated values
**Calculated formation energy**: -0.14 eV per atom
**Final energy**: -62.7 eV for the cell shown